No. 1
VASP calculation (GGA-PBE) on an optimized crystal structure of TaHgTe2.

The structure in POSCAR format:
```
TaHgTe2
1.0
10.085 0.000 0.000
0.000 10.085 0.000
5.042 5.042 2.994
Te Hg Ta
4 2 2
Direct
0.843 0.343 0.000
0.157 0.657 0.000
0.343 0.157 0.000
0.657 0.843 0.000
0.750 0.750 0.500
0.250 0.250 0.500
0.750 0.250 0.500
0.250 0.750 0.500
```

formation energy from raw total energies = -0.04 eV/f.u.

No. 2
VASP calculation (GGA-PBE) on an optimized crystal structure of Zn2OsPd.

The structure in POSCAR format:
```
Zn2OsPd
1.0
6.827 0.000 0.000
0.000 6.827 0.000
3.413 3.413 2.712
Zn Os Pd
4 2 2
Direct
0.622 0.125 0.250
0.128 0.625 0.250
0.375 0.378 0.750
0.875 0.872 0.750
0.000 0.000 0.000
0.750 0.250 0.500
0.500 0.500 0.000
0.250 0.750 0.500
```

formation enthalpy at 0 K = 0.495 eV per atom